1.
DFT (PBE) results for Sc4ZnHgC2 after structural relaxation.

Lattice parameters (Å, degrees): 3.3312 3.3312 14.8920 90.00 90.00 120.00
Space group P-6m2 (No. 187)
Unique sites:
Sc  0.0000  0.0000  0.1635 x2
Sc  0.6667  0.3333  0.3292 x2
Zn  0.6667  0.3333  0.0000 x1
Hg  0.0000  0.0000  0.5000 x1
C  0.3333  0.6667  0.2472 x2

The calculation puts the total energy at -48.77 eV per formula unit. The mass density comes out at 5.45 g/cm³. The value obtained for the calculated volume is 17.89 A^3/atom.

***

2.
DFT (PBE) results for Tc2BMo after structural relaxation.

Lattice parameters (Å, degrees): 3.012 9.209 7.244 90.00 90.00 90.00
Space group Cmcm (No. 63)
Unique sites:
Tc  0.000  0.139  0.054 x8
B  0.000  0.267  0.750 x4
Mo  0.000  0.429  0.250 x4

The calculation puts the total energy at -39.41 eV per formula unit. The mass density comes out at 10.01 g/cm³. The value obtained for the calculated volume is 12.56 A^3/atom.

***

3.
DFT (PBE) results for YNb2Mo after structural relaxation.

Lattice parameters (Å, degrees): 6.782 6.782 6.782 90.00 90.00 90.00
Space group F-43m (No. 216)
Unique sites:
Y  0.000  0.000  0.000 x4
Nb  0.000  0.000  0.500 x4
Nb  0.250  0.250  0.750 x4
Mo  0.250  0.250  0.250 x4

The mass density comes out at 7.89 g/cm³. The formation energy is 138 kJ/mol of formula units. The value obtained for the calculated volume is 19.49 A^3/atom.

***

4.
DFT (PBE) results for AlBPt after structural relaxation.

Lattice parameters (Å, degrees): 5.550 5.550 5.550 90.00 90.00 90.00
Space group F-43m (No. 216)
Unique sites:
Al  0.000  0.000  0.000 x4
B  0.000  0.000  0.500 x4
Pt  0.250  0.250  0.250 x4

The calculation puts the total energy at -16.48 eV per formula unit. The mass density comes out at 9.05 g/cm³. The value obtained for the calculated volume is 14.25 A^3/atom.

***

Question: What is the formula in the second record?
Answer: Tc2BMo

***

Please write out number 4 again, unchanged.
DFT (PBE) results for AlBPt after structural relaxation.

Lattice parameters (Å, degrees): 5.550 5.550 5.550 90.00 90.00 90.00
Space group F-43m (No. 216)
Unique sites:
Al  0.000  0.000  0.000 x4
B  0.000  0.000  0.500 x4
Pt  0.250  0.250  0.250 x4

The calculation puts the total energy at -16.48 eV per formula unit. The mass density comes out at 9.05 g/cm³. The value obtained for the calculated volume is 14.25 A^3/atom.

***

Question: Among the records above, which one has the highest calculated volume?
Answer: YNb2Mo

***

Question: Which of these has the lowest mass density?
Answer: Sc4ZnHgC2